[1]
The following is a PBE-GGA calculation of an optimized crystal structure of La5SmAl6, from the Alexandria database.

```
data_La5SmAl6
_chemical_formula_sum 'La10 Sm2 Al12'
_cell_length_a 16.915
_cell_length_b 7.544
_cell_length_c 5.349
_cell_angle_alpha 90.00
_cell_angle_beta 108.31
_cell_angle_gamma 90.00
_space_group_name_H-M_alt 'C 1 2/m 1'
_space_group_IT_number 12
loop_
_space_group_symop_operation_xyz
'x,y,z'
'-x,-y,-z'
'-x,y,-z'
'x,-y,z'
'x+1/2,y+1/2,z'
'-x+1/2,-y+1/2,-z'
'-x+1/2,y+1/2,-z'
'x+1/2,-y+1/2,z'
loop_
_atom_site_label
_atom_site_type_symbol
_atom_site_fract_x
_atom_site_fract_y
_atom_site_fract_z
La1 La 0.000 0.000 0.000
La2 La 0.163 0.000 0.664
La3 La 0.173 0.500 0.673
Sm1 Sm 0.000 0.500 0.000
Al1 Al 0.000 0.267 0.500
Al2 Al 0.163 0.259 0.163
```

Results
crystal system	monoclinic

[2]
The following is a PBE-GGA calculation of an optimized crystal structure of La3SmAl, from the Alexandria database.

```
data_La3SmAl
_chemical_formula_sum 'La12 Sm4 Al4'
_cell_length_a 10.599
_cell_length_b 9.983
_cell_length_c 6.433
_cell_angle_alpha 90.00
_cell_angle_beta 90.00
_cell_angle_gamma 90.00
_space_group_name_H-M_alt 'A m a 2'
_space_group_IT_number 40
loop_
_space_group_symop_operation_xyz
'x,y,z'
'-x,-y,z'
'-x+1/2,y,z'
'x+1/2,-y,z'
'x,y+1/2,z+1/2'
'-x,-y+1/2,z+1/2'
'-x+1/2,y+1/2,z+1/2'
'x+1/2,-y+1/2,z+1/2'
loop_
_atom_site_label
_atom_site_type_symbol
_atom_site_fract_x
_atom_site_fract_y
_atom_site_fract_z
La1 La 0.068 0.194 0.000
La2 La 0.250 0.014 0.354
Sm1 Sm 0.250 0.373 0.352
Al1 Al 0.000 0.000 0.613
```

Results
crystal system	orthorhombic

[3]
The following is a PBE-GGA calculation of an optimized crystal structure of La5Sm8Al, from the Alexandria database.

```
data_La5Sm8Al
_chemical_formula_sum 'La10 Sm16 Al2'
_cell_length_a 10.735
_cell_length_b 10.735
_cell_length_c 8.375
_cell_angle_alpha 90.00
_cell_angle_beta 90.00
_cell_angle_gamma 90.00
_space_group_name_H-M_alt 'I -4'
_space_group_IT_number 82
loop_
_space_group_symop_operation_xyz
'x,y,z'
'y,-x,-z'
'-x,-y,z'
'-y,x,-z'
'x+1/2,y+1/2,z+1/2'
'y+1/2,-x+1/2,-z+1/2'
'-x+1/2,-y+1/2,z+1/2'
'-y+1/2,x+1/2,-z+1/2'
loop_
_atom_site_label
_atom_site_type_symbol
_atom_site_fract_x
_atom_site_fract_y
_atom_site_fract_z
La1 La 0.000 0.000 0.000
La2 La 0.002 0.197 0.409
Sm1 Sm 0.000 0.341 0.077
Sm2 Sm 0.199 0.294 0.750
Al1 Al 0.000 0.500 0.750
```

Results
crystal system	tetragonal

[4]
The following is a PBE-GGA calculation of an optimized crystal structure of LaSm2Al2, from the Alexandria database.

```
data_LaSm2Al2
_chemical_formula_sum 'La2 Sm4 Al4'
_cell_length_a 4.535
_cell_length_b 16.746
_cell_length_c 3.642
_cell_angle_alpha 90.00
_cell_angle_beta 90.00
_cell_angle_gamma 90.00
_space_group_name_H-M_alt 'C m m m'
_space_group_IT_number 65
_space_group_name_Hall '-C 2 2'
loop_
_atom_site_label
_atom_site_type_symbol
_atom_site_fract_x
_atom_site_fract_y
_atom_site_fract_z
La1 La 0.000 0.000 0.000
Sm1 Sm 0.000 0.367 0.500
Al1 Al 0.000 0.205 0.000
```

Results
crystal system	orthorhombic

Electronic total energy
In order: -4.68; -4.66; -4.60; -4.63
Unit: eV per atom
Mass density
In order: 5160; 5797; 6623; 5926
Unit: kg/m3
Formation energy from the elements
In order: -359; -7; 120; -262
Unit: meV per atom